(1)
Density functional theory data (PBE) for a geometry-optimized Rb3CaPd structure.

Cell lengths 6.648, 6.648, 6.648 Å; angles 90.00, 90.00, 90.00 degrees
Space group Pm-3m (No. 221)
Inequivalent atoms, fractional coordinates:
Rb 0.000 0.000 0.500 [3 per cell]
Ca 0.500 0.500 0.500 [1 per cell]
Pd 0.000 0.000 0.000 [1 per cell]

- M_tot: 0.00 μB per cell
- DFT total energy: -0.128 Ry per atom
- Formation energy: 279 meV/atom

***

(2)
Density functional theory data (PBE) for a geometry-optimized Rb2Ca2Pd structure.

Cell lengths 7.845, 7.845, 7.382 Å; angles 90.00, 90.00, 90.00 degrees
Space group P4/mbm (No. 127)
Inequivalent atoms, fractional coordinates:
Rb 0.188 0.312 0.000 [4 per cell]
Ca 0.181 0.681 0.500 [4 per cell]
Pd 0.000 0.000 0.500 [2 per cell]

- M_tot: 0.00 μB per cell
- DFT total energy: -0.164 Ry per atom
- Formation energy: -6 meV/atom

***

Q: The highest DFT total energy belongs to which entry?
A: Rb3CaPd